A plane-wave DFT calculation with PBE-GGA was carried out for an optimized crystal structure of Te2Pt.

Its total magnetization is 0.00 Bohr magnetons per cell. Its total energy is -4.5094 eV per atom. The value obtained for the volume is 25.176 A^3/atom.

The structure belongs to space group P-3m1 (No. 164); the cell edges are 4.0764, 4.0764 and 5.2482 Å and the angles 90.00°, 90.00° and 120.00°. The asymmetric unit holds Te at (0.3333, 0.6667, 0.2602) and Pt at (0.0000, 0.0000, 0.0000).